[1]
Compound: PdF4
Source: OQMD
Functional: PBE-GGA
Structure: relaxed

Calculated values
polymorph energy (0 for the lowest one): 0.236 eV/f.u.
V: 55 Å³/cell
final energy: -3.53 eV/atom

POSCAR file:
```
PdF4
1.0
2.8234 -3.1316 0.0000
2.8234 3.1316 0.0000
0.0000 0.0000 3.0831
Pd F
1 4
Cartesian
0.0000 0.0000 0.0000
1.2462 0.0000 1.5416
2.8234 1.2248 0.0000
2.8234 -1.2248 0.0000
4.4006 0.0000 1.5416
```

[2]
Compound: Nd2SO6
Source: OQMD
Functional: PBE-GGA
Structure: relaxed

Calculated values
M_tot: 0.0 μB/cell
polymorph energy (0 for the lowest one): 0.619 eV/f.u.
V: 124 Å³/cell
final energy: -7.41 eV/atom

POSCAR file:
```
Nd2SO6
1.0
-2.0661 2.0770 7.2243
2.0661 -2.0770 7.2243
2.0661 2.0770 -7.2243
Nd S O
2 1 6
Cartesian
0.0000 0.0000 2.5009
0.0000 0.0000 11.9478
0.0000 0.0000 7.2243
1.2252 1.2336 -0.8674
2.0661 0.0000 3.6185
0.8410 -0.8434 8.0917
0.8410 0.8434 6.3569
0.0000 2.0770 3.6058
1.2252 2.9204 0.8674
```

Which of these has the lowest final energy? Nd2SO6

Which of these has the highest polymorph energy (0 for the lowest one)? Nd2SO6

Among the records above, which one has the lowest polymorph energy (0 for the lowest one)? PdF4

The lowest polymorph energy (0 for the lowest one) belongs to which entry? PdF4